# 1
Material: Nd4Sm5Er
Method: DFT, GGA-PBE
State: optimized geometry

a b c (Å): 6.182 8.114 8.114
angles (deg): 81.66 67.61 67.61
Fractional positions:
Nd: 0.434 0.676 0.324
Nd: 0.110 0.324 0.324
Nd: 0.434 0.324 0.676
Nd: 0.758 0.676 0.676
Er: 0.223 0.000 0.000
Sm: 0.153 0.000 0.623
Sm: 0.153 0.623 0.000
Sm: 0.776 0.377 0.000
Sm: 0.691 0.000 0.000
Sm: 0.776 0.000 0.377

Properties
Energy relative to the lowest polymorph listed for this composition (meV per atom): 214
E_form (kJ/mol of formula units): 220
Total magnetic moment (μB per cell): 0.00
Density (Mg/m³): 7.14
DFT total energy (eV per cell): -45.0
Symmetry: No. 107

---

# 2
Material: Nb3TcO
Method: DFT, GGA-PBE
State: optimized geometry

a b c (Å): 4.802 4.802 4.802
angles (deg): 90.00 90.00 90.00
Last column: magnetic moment on the atom in μB.
Fractional positions:
Nb: 0.500 0.000 0.000  0.35
Nb: 0.000 0.500 0.000  0.22
Nb: 0.000 0.000 0.500  0.22
Tc: 0.000 0.000 0.000  0.01
O: 0.500 0.500 0.500  0.49

Properties
Energy relative to the lowest polymorph listed for this composition (meV per atom): 2054
Total magnetic moment (μB per cell): 1.55
Density (Mg/m³): 5.89
ΔE_f (raw) (meV per atom): 1498.6
DFT total energy (eV per cell): -38.0
Symmetry: No. 221

---

# 3
Material: Ti6ZnRh5
Method: DFT, GGA-PBE
State: optimized geometry

a b c (Å): 4.554 5.896 7.579
angles (deg): 67.12 76.53 90.00
Fractional positions:
Zn: 0.000 0.000 0.000
Ti: 0.500 0.750 0.000
Ti: 0.143 0.922 0.653
Ti: 0.143 0.425 0.653
Ti: 0.857 0.078 0.347
Ti: 0.857 0.575 0.347
Ti: 0.500 0.250 0.000
Rh: 0.376 0.341 0.319
Rh: 0.604 0.156 0.689
Rh: 0.000 0.500 0.000
Rh: 0.396 0.844 0.311
Rh: 0.624 0.659 0.681

Properties
E_form (kJ/mol of formula units): -756
Total magnetic moment (μB per cell): 0.00
Density (Mg/m³): 7.94
DFT total energy (eV per cell): -93.2
Symmetry: No. 12

---

# 4
Material: Si2Sn2Hg
Method: DFT, GGA-PBE
State: optimized geometry

a b c (Å): 5.051 5.051 5.911
angles (deg): 64.70 64.70 90.00
Fractional positions:
Sn: 0.750 0.250 0.500
Sn: 0.250 0.750 0.500
Si: 0.374 0.374 0.252
Si: 0.626 0.626 0.748
Hg: 0.000 0.000 0.000

Properties
Energy relative to the lowest polymorph listed for this composition (meV per atom): 0
Total magnetic moment (μB per cell): 0.00
Density (Mg/m³): 6.83
ΔE_f (raw) (meV per atom): 230.0
DFT total energy (eV per cell): -18.0
Symmetry: No. 139

---

# 5
Material: BaLiGdAg
Method: DFT, GGA-PBE
State: optimized geometry

a b c (Å): 5.581 5.581 5.581
angles (deg): 60.00 60.00 60.00
Last column: magnetic moment on the atom in μB.
Fractional positions:
Gd: 0.750 0.750 0.750  7.04
Li: 0.500 0.500 0.500  0.01
Ag: 0.000 0.000 0.000  0.00
Ba: 0.250 0.250 0.250  0.01

Properties
E_form (kJ/mol of formula units): 12
Total magnetic moment (μB per cell): 7.40
Density (Mg/m³): 5.53
DFT total energy (eV per cell): -20.6
Symmetry: No. 216

---

# 6
Material: In3OsPd
Method: DFT, GGA-PBE
State: optimized geometry

a b c (Å): 5.121 5.121 5.121
angles (deg): 90.00 90.00 90.00
Fractional positions:
Pd: 0.500 0.500 0.500
In: 0.000 0.000 0.500
In: 0.000 0.500 0.000
In: 0.500 0.000 0.000
Os: 0.000 0.000 0.000

Properties
Energy relative to the lowest polymorph listed for this composition (meV per atom): 0
E_form (kJ/mol of formula units): 237
Total magnetic moment (μB per cell): 0.00
Density (Mg/m³): 7.93
DFT total energy (eV per cell): -22.2
Symmetry: No. 221

---

# 7
Material: BaAg3Hg
Method: DFT, GGA-PBE
State: optimized geometry

a b c (Å): 6.392 6.392 6.392
angles (deg): 90.00 90.00 90.00
Last column: magnetic moment on the atom in μB.
Fractional positions:
Ba: 0.000 0.000 0.000  0.05
Ag: 0.000 0.000 0.500  0.05
Ag: 0.000 0.500 0.000  0.04
Ag: 0.500 0.000 0.000  0.15
Hg: 0.500 0.500 0.500  0.03

Properties
Energy relative to the lowest polymorph listed for this composition (meV per atom): 993
E_form (kJ/mol of formula units): 388
Total magnetic moment (μB per cell): 0.88
Density (Mg/m³): 4.21
DFT total energy (eV per cell): -6.8
Symmetry: No. 221

---

# 8
Material: LaAg2Cl6
Method: DFT, GGA-PBE
State: optimized geometry

a b c (Å): 6.903 6.903 7.476
angles (deg): 62.51 62.51 60.00
Last column: magnetic moment on the atom in μB.
Fractional positions:
La: 0.322 0.322 0.035  0.00
Cl: 0.605 0.900 0.256  0.07
Cl: 0.439 0.109 0.736  0.09
Cl: 0.109 0.716 0.736  0.09
Cl: 0.900 0.239 0.256  0.07
Cl: 0.239 0.605 0.256  0.07
Cl: 0.716 0.439 0.736  0.09
Ag: 0.825 0.825 0.525  0.15
Ag: 0.511 0.511 0.466  0.24

Properties
Energy relative to the lowest polymorph listed for this composition (meV per atom): 0
Total magnetic moment (μB per cell): 1.02
Density (Mg/m³): 3.61
ΔE_f (raw) (meV per atom): -1207.4
DFT total energy (eV per cell): -32.6
Symmetry: No. 146

---

# 9
Material: SnTe3Pd12
Method: DFT, GGA-PBE
State: optimized geometry

a b c (Å): 4.068 4.068 16.460
angles (deg): 90.00 90.00 90.00
Fractional positions:
Pd: 0.500 0.500 0.243
Pd: 0.500 0.500 0.000
Pd: 0.500 0.000 0.372
Pd: 0.500 0.000 0.628
Pd: 0.000 0.500 0.120
Pd: 0.000 0.500 0.628
Pd: 0.500 0.000 0.880
Pd: 0.500 0.500 0.500
Pd: 0.000 0.500 0.372
Pd: 0.500 0.000 0.120
Pd: 0.500 0.500 0.757
Pd: 0.000 0.500 0.880
Te: 0.000 0.000 0.500
Te: 0.000 0.000 0.748
Te: 0.000 0.000 0.252
Sn: 0.000 0.000 0.000

Properties
Total magnetic moment (μB per cell): 0.00
Density (Mg/m³): 10.84
ΔE_f (raw) (meV per atom): -245.1
DFT total energy (eV per cell): -79.7
Symmetry: No. 123

---

# 10
Material: CsPb2Au
Method: DFT, GGA-PBE
State: optimized geometry

a b c (Å): 5.631 5.631 5.631
angles (deg): 60.00 60.00 60.00
Fractional positions:
Pb: 0.250 0.250 0.250
Pb: 0.750 0.750 0.750
Au: 0.500 0.500 0.500
Cs: 0.000 0.000 0.000

Properties
E_form (kJ/mol of formula units): 81
Total magnetic moment (μB per cell): 0.00
Density (Mg/m³): 9.79
DFT total energy (eV per cell): -10.7
Symmetry: No. 225

---

# 11
Material: LaPd2Au9
Method: DFT, GGA-PBE
State: optimized geometry

a b c (Å): 5.550 5.550 9.585
angles (deg): 73.17 73.17 60.00
Fractional positions:
Au: 0.590 0.081 0.739
Au: 0.081 0.590 0.739
Au: 0.410 0.410 0.261
Au: 0.500 0.500 0.500
Au: 0.410 0.919 0.261
Au: 0.590 0.590 0.739
Au: 0.334 0.334 0.998
Au: 0.666 0.666 0.002
Au: 0.919 0.410 0.261
Pd: 0.846 0.846 0.461
Pd: 0.154 0.154 0.539
La: 0.000 0.000 0.000

Properties
Energy relative to the lowest polymorph listed for this composition (meV per atom): 79
E_form (kJ/mol of formula units): -202
Total magnetic moment (μB per cell): 0.00
Density (Mg/m³): 14.64
DFT total energy (eV per cell): -46.9
Symmetry: No. 166

---

# 12
Material: KIn3Ru
Method: DFT, GGA-PBE
State: optimized geometry

a b c (Å): 5.793 5.793 5.793
angles (deg): 90.00 90.00 90.00
Last column: magnetic moment on the atom in μB.
Fractional positions:
Ru: 0.500 0.500 0.500  2.42
In: 0.000 0.500 0.000  -0.05
In: 0.000 0.000 0.500  -0.05
In: 0.500 0.000 0.000  -0.04
K: 0.000 0.000 0.000  -0.02

Properties
Energy relative to the lowest polymorph listed for this composition (meV per atom): 1878
E_form (kJ/mol of formula units): 842
Total magnetic moment (μB per cell): 2.17
Density (Mg/m³): 4.14
DFT total energy (eV per cell): -9.9
Symmetry: No. 221

---

# 13
Material: SiIrBr
Method: DFT, GGA-PBE
State: optimized geometry

a b c (Å): 4.308 4.308 4.308
angles (deg): 60.00 60.00 60.00
Fractional positions:
Ir: 0.750 0.750 0.750
Br: 0.500 0.500 0.500
Si: 0.000 0.000 0.000

Properties
Energy relative to the lowest polymorph listed for this composition (meV per atom): 464
Total magnetic moment (μB per cell): 0.00
Density (Mg/m³): 8.82
ΔE_f (raw) (meV per atom): 317.0
DFT total energy (eV per cell): -15.0
Symmetry: No. 216

---

# 14
Material: LiTmMg
Method: DFT, GGA-PBE
State: optimized geometry

a b c (Å): 3.426 3.461 12.750
angles (deg): 74.42 89.99 89.99
Fractional positions:
Li: 0.975 0.323 0.732
Li: 0.475 0.961 0.596
Mg: 0.978 0.607 0.452
Mg: 0.478 0.677 0.876
Tm: 0.477 0.294 0.264
Tm: 0.977 0.990 0.065

Properties
Energy relative to the lowest polymorph listed for this composition (meV per atom): 0
E_form (kJ/mol of formula units): -8
Total magnetic moment (μB per cell): 0.00
Density (Mg/m³): 4.56
DFT total energy (eV per cell): -16.1
Symmetry: No. 4

---

# 15
Material: Rb3Bi5Pb6
Method: DFT, GGA-PBE
State: optimized geometry

a b c (Å): 5.540 12.075 15.950
angles (deg): 90.00 90.00 90.00
Fractional positions:
Bi: 0.000 0.533 0.872
Bi: 0.500 0.226 0.500
Bi: 0.000 0.533 0.128
Bi: 0.500 0.125 0.150
Bi: 0.500 0.125 0.850
Bi: 0.500 0.467 0.628
Bi: 0.500 0.467 0.372
Bi: 0.000 0.875 0.350
Bi: 0.000 0.774 0.000
Bi: 0.000 0.875 0.650
Pb: 0.000 0.594 0.674
Pb: 0.000 0.055 0.500
Pb: 0.000 0.594 0.326
Pb: 0.000 0.977 0.158
Pb: 0.000 0.429 0.500
Pb: 0.500 0.406 0.826
Pb: 0.500 0.023 0.342
Pb: 0.500 0.406 0.174
Pb: 0.500 0.945 0.000
Pb: 0.500 0.023 0.658
Pb: 0.500 0.571 0.000
Pb: 0.000 0.977 0.842
Rb: 0.500 0.744 0.500
Rb: 0.000 0.256 0.000
Rb: 0.500 0.751 0.199
Rb: 0.500 0.751 0.801
Rb: 0.000 0.249 0.301
Rb: 0.000 0.249 0.699

Properties
E_form (kJ/mol of formula units): -200
Total magnetic moment (μB per cell): 0.00
Density (Mg/m³): 7.92
DFT total energy (eV per cell): -93.3
Symmetry: No. 59

---

# 16
Material: Rb2AlTlCu
Method: DFT, GGA-PBE
State: optimized geometry

a b c (Å): 7.166 5.093 7.166
angles (deg): 90.00 90.00 90.00
Fractional positions:
Cu: 0.500 0.500 0.500
Rb: 0.500 0.000 0.000
Rb: 0.000 0.000 0.500
Al: 0.000 0.500 0.000
Tl: 0.000 0.000 0.000

Properties
E_form (kJ/mol of formula units): 291
Total magnetic moment (μB per cell): 0.00
Density (Mg/m³): 2.96
DFT total energy (eV per cell): -9.1
Symmetry: No. 123

---

# 17
Material: PuCuPF
Method: DFT, GGA-PBE
State: optimized geometry

a b c (Å): 3.796 3.796 8.565
angles (deg): 90.00 90.00 90.00
Last column: magnetic moment on the atom in μB.
Fractional positions:
P: 0.000 0.500 0.829  -0.11
P: 0.500 0.000 0.171  -0.11
F: 0.500 0.500 0.500  -0.02
F: 0.000 0.000 0.500  -0.02
Cu: 0.500 0.500 0.000  -0.05
Cu: 0.000 0.000 0.000  -0.05
Pu: 0.500 0.000 0.694  5.13
Pu: 0.000 0.500 0.306  5.13

Properties
Total magnetic moment (μB per cell): 10.12
Density (Mg/m³): 9.62
ΔE_f (raw) (meV per atom): -1656.0
DFT total energy (eV per cell): -64.7
Symmetry: No. 129

---

# 18
Material: DyHo2Rh4
Method: DFT, GGA-PBE
State: optimized geometry

a b c (Å): 4.655 4.655 6.640
angles (deg): 90.00 90.00 90.00
Fractional positions:
Rh: 0.500 0.000 0.256
Rh: 0.000 0.500 0.256
Rh: 0.500 0.000 0.744
Rh: 0.000 0.500 0.744
Dy: 0.500 0.500 0.000
Ho: 0.500 0.500 0.500
Ho: 0.000 0.000 0.000

Properties
E_form (kJ/mol of formula units): -336
Total magnetic moment (μB per cell): 0.00
Density (Mg/m³): 10.43
DFT total energy (eV per cell): -46.6
Symmetry: No. 123

---

# 19
Material: KSb2Mo
Method: DFT, GGA-PBE
State: optimized geometry

a b c (Å): 4.601 4.601 7.839
angles (deg): 79.92 79.92 45.08
Last column: magnetic moment on the atom in μB.
Fractional positions:
K: 0.250 0.250 0.250  0.00
Sb: 0.022 0.022 0.923  -0.02
Sb: 0.478 0.478 0.577  -0.02
Mo: 0.750 0.750 0.750  1.50

Properties
Energy relative to the lowest polymorph listed for this composition (meV per atom): 178
Total magnetic moment (μB per cell): 1.80
Density (Mg/m³): 5.45
ΔE_f (raw) (meV per atom): 93.5
DFT total energy (eV per cell): -19.8
Symmetry: No. 12

---

# 20
Material: Sc2Be
Method: DFT, GGA-PBE
State: optimized geometry

a b c (Å): 6.854 6.854 4.245
angles (deg): 90.00 90.00 120.00
Fractional positions:
Sc: 0.000 0.262 0.000
Sc: 0.000 0.594 0.500
Sc: 0.594 0.000 0.500
Sc: 0.262 0.000 0.000
Sc: 0.406 0.406 0.500
Sc: 0.738 0.738 0.000
Be: 0.000 0.000 0.500
Be: 0.667 0.333 0.000
Be: 0.333 0.667 0.000

Properties
Energy relative to the lowest polymorph listed for this composition (meV per atom): 117
E_form (kJ/mol of formula units): 25
Total magnetic moment (μB per cell): 0.40
Density (Mg/m³): 2.85
DFT total energy (eV per cell): -48.4
Symmetry: No. 189